{"formula": "TlAsIr2", "functional": "PBE", "state": "optimized geometry", "dos_ef_per_ev_fu": 2.962, "delta_e_f_ev_per_atom": 0.6888, "m_tot_mub_per_cell": 0.0, "mass_density_g_cm3": 15.71, "sg": "F-43m (216)", "polymorph_energy_ev_per_atom": 0.4451, "lattice": [[4.630, 0.000, 0.000], [2.315, 4.009, 0.000], [2.315, 1.336, 3.780]], "species": ["As", "Ir", "Ir", "Tl"], "frac_coords": [[0.500, 0.500, 0.500], [0.250, 0.250, 0.250], [0.000, 0.000, 0.000], [0.750, 0.750, 0.750]]}

***

{"formula": "Tb3GaGe2", "functional": "PBE", "state": "optimized geometry", "dos_ef_per_ev_fu": 3.254, "delta_e_f_ev_per_atom": -0.7513, "m_tot_mub_per_cell": 0.0, "mass_density_g_cm3": 8.08, "sg": "Pnma (62)", "polymorph_energy_ev_per_atom": 0.0000, "lattice": [[4.197, 0.000, 0.000], [0.000, 11.616, 0.000], [0.000, 0.000, 11.660]], "species": ["Tb", "Tb", "Tb", "Tb", "Tb", "Tb", "Tb", "Tb", "Tb", "Tb", "Tb", "Tb", "Ga", "Ga", "Ga", "Ga", "Ge", "Ge", "Ge", "Ge", "Ge", "Ge", "Ge", "Ge"], "frac_coords": [[0.250, 0.121, 0.555], [0.750, 0.561, 0.625], [0.750, 0.939, 0.125], [0.250, 0.379, 0.055], [0.750, 0.879, 0.445], [0.750, 0.302, 0.796], [0.250, 0.439, 0.375], [0.250, 0.061, 0.875], [0.750, 0.198, 0.296], [0.250, 0.802, 0.704], [0.250, 0.698, 0.204], [0.750, 0.621, 0.945], [0.250, 0.366, 0.635], [0.750, 0.866, 0.865], [0.250, 0.134, 0.135], [0.750, 0.634, 0.365], [0.750, 0.001, 0.686], [0.750, 0.186, 0.015], [0.750, 0.314, 0.515], [0.250, 0.999, 0.314], [0.250, 0.814, 0.985], [0.750, 0.499, 0.186], [0.250, 0.501, 0.814], [0.250, 0.686, 0.485]]}

***

{"formula": "PmTlFe2Cl8", "functional": "PBE", "state": "optimized geometry", "dos_ef_per_ev_fu": 12.614, "m_tot_mub_per_cell": 8.0, "mass_density_g_cm3": 3.18, "sg": "C2/m (12)", "formation_energy_uncorrected_mev_per_atom": -1237, "lattice": [[6.529, -0.440, -0.060], [2.621, 5.996, -0.060], [0.479, 0.291, 9.635]], "species": ["Fe", "Fe", "Cl", "Cl", "Cl", "Cl", "Cl", "Cl", "Cl", "Cl", "Tl", "Pm"], "frac_coords": [[0.372, 0.372, 0.777], [0.628, 0.628, 0.223], [0.247, 0.750, 0.209], [0.250, 0.753, 0.791], [0.255, 0.255, 0.984], [0.709, 0.709, 0.429], [0.291, 0.291, 0.571], [0.745, 0.745, 0.016], [0.753, 0.250, 0.791], [0.750, 0.247, 0.209], [0.000, 0.000, 0.500], [0.000, 0.000, 0.000]]}

***

{"formula": "HoTmZrAl", "functional": "PBE", "state": "optimized geometry", "dos_ef_per_ev_fu": 7.189, "delta_e_f_ev_per_atom": -0.0234, "m_tot_mub_per_cell": 0.0, "mass_density_g_cm3": 7.85, "sg": "F-43m (216)", "lattice": [[-4.542, -2.312, 0.616], [-0.203, -5.019, 1.060], [-1.464, -1.582, 4.659]], "species": ["Ho", "Al", "Zr", "Tm"], "frac_coords": [[0.500, 0.500, 0.500], [0.750, 0.750, 0.750], [0.000, 0.000, 0.000], [0.250, 0.250, 0.250]]}